The following is a DFT calculation (PBE) of a geometry-optimized Li2TaCd structure.

- Crystal system: orthorhombic
- E: -32.0 eV/cell

a b c (Å): 3.0998 4.6269 10.1128
angles (deg): 90.00 90.00 90.00
Space group Cmmm (No. 65)
Unique sites:
Li: 0.0000 0.0000 0.2493
Ta: 0.0000 0.5000 0.0000
Cd: 0.0000 0.5000 0.5000